Entry from the Alexandria database: a relaxed CaTlAgBr6 crystal (PBE).

total DFT energy (no corrections): -2.85 eV/atom
raw formation energy: -928 meV per atom

Unit cell a=7.161 b=7.161 c=12.921 alpha=90.00 beta=90.00 gamma=120.00
Positions (direct):
Ca 0.333 0.667 0.250
Ca 0.667 0.333 0.750
Tl 0.333 0.667 0.750
Tl 0.667 0.333 0.250
Ag 0.000 0.000 0.000
Ag 0.000 0.000 0.500
Br 0.011 0.344 0.624
Br 0.011 0.667 0.876
Br 0.333 0.344 0.876
Br 0.333 0.989 0.624
Br 0.344 0.011 0.124
Br 0.344 0.333 0.376
Br 0.656 0.667 0.624
Br 0.656 0.989 0.876
Br 0.667 0.011 0.376
Br 0.667 0.656 0.124
Br 0.989 0.333 0.124
Br 0.989 0.656 0.376